1.
Entry from Alexandria via LeMat-Bulk: a relaxed ThCdIrPd crystal (PBE).

The space group is F-43m, No. 216. The volume comes out at 20.67 Å³/atom. The value obtained for the total energy is -6.1485 eV/atom. The value obtained for the formation energy from the elements is -0.551 eV/atom. Its density of states at the Fermi level is 2.4 states/eV/f.u.

Lattice parameters (Å, degrees): 4.8898 4.8898 4.8898 60.00 60.00 60.00
Closest atoms and distances in Å follow each position.
Fractional positions:
Th 0.0000 0.0000 0.0000  4 Ir 2.99, 4 Pd 2.99
Cd 0.5000 0.5000 0.5000  4 Ir 2.99, 4 Pd 2.99
Ir 0.2500 0.2500 0.2500  4 Cd 2.99, 4 Th 2.99
Pd 0.7500 0.7500 0.7500  4 Cd 2.99, 4 Th 2.99

---

2.
Entry from Alexandria via LeMat-Bulk: a relaxed CsSrBi2 crystal (PBE).

The space group is Fm-3m, No. 225. The volume comes out at 40.57 Å³/atom. The value obtained for the total energy is -2.8742 eV/atom. Its excess energy over the best structure of this formula in the dataset is 288 meV per atom. The value obtained for the formation energy from the elements is -0.300 eV/atom. Its density of states at the Fermi level is 3.4 states/eV/f.u.

Lattice parameters (Å, degrees): 6.1225 6.1225 6.1225 60.00 60.00 60.00
Closest atoms and distances in Å follow each position.
Fractional positions:
Cs 0.0000 0.0000 0.0000  8 Bi 3.75
Sr 0.5000 0.5000 0.5000  8 Bi 3.75
Bi 0.2500 0.2500 0.2500  4 Sr 3.75, 4 Cs 3.75
Bi 0.7500 0.7500 0.7500  4 Cs 3.75, 4 Sr 3.75

---

3.
Entry from Alexandria via LeMat-Bulk: a relaxed ThFeB4 crystal (PBE).

The space group is Cmmm, No. 65. The volume comes out at 10.42 Å³/atom. The value obtained for the total energy is -7.6290 eV/atom. The value obtained for the formation energy from the elements is -0.530 eV/atom. Its density of states at the Fermi level is 1.9 states/eV/f.u.

Lattice parameters (Å, degrees): 6.0248 6.0248 3.5535 90.00 90.00 104.11
Closest atoms and distances in Å follow each position.
Fractional positions:
Th 0.1993 0.8007 0.0000  14 B 2.69-2.79
Th 0.8007 0.1993 0.0000  14 B 2.69-2.79
Fe 0.3202 0.3202 0.0000  10 B 2.24-2.37
Fe 0.6798 0.6798 0.0000  10 B 2.24-2.37
B 0.1283 0.4322 0.5000  3 B 1.74-1.92
B 0.1354 0.1354 0.5000  3 B 1.80-2.01
B 0.4119 0.5881 0.5000  3 B 1.67-1.74
B 0.4322 0.1283 0.5000  3 B 1.74-1.92
B 0.5678 0.8717 0.5000  3 B 1.74-1.92
B 0.5881 0.4119 0.5000  3 B 1.67-1.74
B 0.8646 0.8646 0.5000  3 B 1.80-2.01
B 0.8717 0.5678 0.5000  3 B 1.74-1.92

---

4.
Entry from Alexandria via LeMat-Bulk: a relaxed Li2MgPSe crystal (PBE).

The space group is P4/mmm, No. 123. The volume comes out at 29.36 Å³/atom. The value obtained for the total energy is -2.3830 eV/atom. The calculation puts the uncorrected formation energy at 2.4 eV/f.u. Its density of states at the Fermi level is 2.3 states/eV/f.u.

Lattice parameters (Å, degrees): 5.5728 5.5728 4.7273 90.00 90.00 90.00
Closest atoms and distances in Å follow each position.
Fractional positions:
Li 0.0000 0.5000 0.0000  2 Mg 2.79
Li 0.5000 0.0000 0.0000  2 Mg 2.79
Mg 0.0000 0.0000 0.0000  2 Se 2.36
P 0.5000 0.5000 0.5000  8 Li 3.65, 4 Se 3.94
Se 0.0000 0.0000 0.5000  2 Mg 2.36

---

5.
Entry from Alexandria via LeMat-Bulk: a relaxed Al2HgSe crystal (PBE).

The space group is P4/mmm, No. 123. The volume comes out at 20.78 Å³/atom. The value obtained for the total energy is -2.7087 eV/atom. The calculation puts the uncorrected formation energy at 0.4 eV/f.u. Its density of states at the Fermi level is 1.3 states/eV/f.u.

Lattice parameters (Å, degrees): 4.8556 4.8556 3.5251 90.00 90.00 90.00
Closest atoms and distances in Å follow each position.
Fractional positions:
Al 0.0000 0.5000 0.0000  4 Hg 3.00, 4 Se 3.00
Al 0.5000 0.0000 0.0000  4 Hg 3.00, 4 Se 3.00
Hg 0.0000 0.0000 0.5000  8 Al 3.00
Se 0.5000 0.5000 0.5000  8 Al 3.00

---

6.
Entry from Alexandria via LeMat-Bulk: a relaxed K3Pd5Se12 crystal (PBE).

The space group is Ia-3d, No. 230. The volume comes out at 28.62 Å³/atom. The value obtained for the total energy is -3.8206 eV/atom. The calculation puts the uncorrected formation energy at -5.3 eV/f.u. Its density of states at the Fermi level is 13.4 states/eV/f.u.

Lattice parameters (Å, degrees): 14.3819 14.3819 14.3819 109.47 109.47 109.47
Closest atoms and distances in Å follow each position.
Fractional positions:
K 0.1250 0.2500 0.3750  4 Se 3.25
K 0.1250 0.3750 0.7500  4 Se 3.25
K 0.2500 0.3750 0.1250  4 Se 3.25
K 0.2500 0.8750 0.6250  4 Se 3.25
K 0.3750 0.1250 0.2500  4 Se 3.25
K 0.3750 0.7500 0.1250  4 Se 3.25
K 0.6250 0.2500 0.8750  4 Se 3.25
K 0.6250 0.8750 0.7500  4 Se 3.25
K 0.7500 0.1250 0.3750  4 Se 3.25
K 0.7500 0.6250 0.8750  4 Se 3.25
K 0.8750 0.6250 0.2500  4 Se 3.25
K 0.8750 0.7500 0.6250  4 Se 3.25
Pd 0.0000 0.0000 0.0000  6 Se 2.74
Pd 0.0000 0.0000 0.5000  6 Se 2.74
Pd 0.0000 0.5000 0.0000  6 Se 2.74
Pd 0.0000 0.5000 0.5000  6 Se 2.74
Pd 0.1250 0.7500 0.8750  4 Se 2.45
Pd 0.1250 0.8750 0.2500  4 Se 2.45
Pd 0.2500 0.1250 0.8750  4 Se 2.45
Pd 0.2500 0.6250 0.3750  4 Se 2.45
Pd 0.3750 0.2500 0.6250  4 Se 2.45
Pd 0.3750 0.6250 0.7500  4 Se 2.45
Pd 0.5000 0.0000 0.0000  6 Se 2.74
Pd 0.5000 0.0000 0.5000  6 Se 2.74
Pd 0.5000 0.5000 0.0000  6 Se 2.74
Pd 0.5000 0.5000 0.5000  6 Se 2.74
Pd 0.6250 0.3750 0.2500  4 Se 2.45
Pd 0.6250 0.7500 0.3750  4 Se 2.45
Pd 0.7500 0.3750 0.6250  4 Se 2.45
Pd 0.7500 0.8750 0.1250  4 Se 2.45
Pd 0.8750 0.1250 0.7500  4 Se 2.45
Pd 0.8750 0.2500 0.1250  4 Se 2.45
Se 0.0062 0.7048 0.0598  2 Pd 2.45-2.74, 1 Se 2.47
Se 0.0062 0.8014 0.9464  2 Pd 2.45-2.74, 1 Se 2.47
Se 0.0536 0.5598 0.8550  2 Pd 2.45-2.74, 1 Se 2.47
Se 0.0536 0.9938 0.1986  2 Pd 2.45-2.74, 1 Se 2.47
Se 0.0598 0.0062 0.7048  2 Pd 2.45-2.74, 1 Se 2.47
Se 0.0598 0.5536 0.3550  2 Pd 2.45-2.74, 1 Se 2.47
Se 0.1450 0.6986 0.7048  2 Pd 2.45-2.74, 1 Se 2.47
Se 0.1450 0.9464 0.4402  2 Pd 2.45-2.74, 1 Se 2.47
Se 0.1986 0.0536 0.9938  2 Pd 2.45-2.74, 1 Se 2.47
Se 0.1986 0.6450 0.2048  2 Pd 2.45-2.74, 1 Se 2.47
Se 0.2048 0.1986 0.6450  2 Pd 2.45-2.74, 1 Se 2.47
Se 0.2048 0.5062 0.5598  2 Pd 2.45-2.74, 1 Se 2.47
Se 0.2952 0.8550 0.3014  2 Pd 2.45-2.74, 1 Se 2.47
Se 0.2952 0.9402 0.9938  2 Pd 2.45-2.74, 1 Se 2.47
Se 0.3014 0.2952 0.8550  2 Pd 2.45-2.74, 1 Se 2.47
Se 0.3014 0.5062 0.4464  2 Pd 2.45-2.74, 1 Se 2.47
Se 0.3550 0.0598 0.5536  2 Pd 2.45-2.74, 1 Se 2.47
Se 0.3550 0.7952 0.8014  2 Pd 2.45-2.74, 1 Se 2.47
Se 0.4402 0.1450 0.9464  2 Pd 2.45-2.74, 1 Se 2.47
Se 0.4402 0.7952 0.4938  2 Pd 2.45-2.74, 1 Se 2.47
Se 0.4464 0.3014 0.5062  2 Pd 2.45-2.74, 1 Se 2.47
Se 0.4464 0.6450 0.9402  2 Pd 2.45-2.74, 1 Se 2.47
Se 0.4938 0.4402 0.7952  2 Pd 2.45-2.74, 1 Se 2.47
Se 0.4938 0.5536 0.6986  2 Pd 2.45-2.74, 1 Se 2.47
Se 0.5062 0.4464 0.3014  2 Pd 2.45-2.74, 1 Se 2.47
Se 0.5062 0.5598 0.2048  2 Pd 2.45-2.74, 1 Se 2.47
Se 0.5536 0.3550 0.0598  2 Pd 2.45-2.74, 1 Se 2.47
Se 0.5536 0.6986 0.4938  2 Pd 2.45-2.74, 1 Se 2.47
Se 0.5598 0.2048 0.5062  2 Pd 2.45-2.74, 1 Se 2.47
Se 0.5598 0.8550 0.0536  2 Pd 2.45-2.74, 1 Se 2.47
Se 0.6450 0.2048 0.1986  2 Pd 2.45-2.74, 1 Se 2.47
Se 0.6450 0.9402 0.4464  2 Pd 2.45-2.74, 1 Se 2.47
Se 0.6986 0.4938 0.5536  2 Pd 2.45-2.74, 1 Se 2.47
Se 0.6986 0.7048 0.1450  2 Pd 2.45-2.74, 1 Se 2.47
Se 0.7048 0.0598 0.0062  2 Pd 2.45-2.74, 1 Se 2.47
Se 0.7048 0.1450 0.6986  2 Pd 2.45-2.74, 1 Se 2.47
Se 0.7952 0.4938 0.4402  2 Pd 2.45-2.74, 1 Se 2.47
Se 0.7952 0.8014 0.3550  2 Pd 2.45-2.74, 1 Se 2.47
Se 0.8014 0.3550 0.7952  2 Pd 2.45-2.74, 1 Se 2.47
Se 0.8014 0.9464 0.0062  2 Pd 2.45-2.74, 1 Se 2.47
Se 0.8550 0.0536 0.5598  2 Pd 2.45-2.74, 1 Se 2.47
Se 0.8550 0.3014 0.2952  2 Pd 2.45-2.74, 1 Se 2.47
Se 0.9402 0.4464 0.6450  2 Pd 2.45-2.74, 1 Se 2.47
Se 0.9402 0.9938 0.2952  2 Pd 2.45-2.74, 1 Se 2.47
Se 0.9464 0.0062 0.8014  2 Pd 2.45-2.74, 1 Se 2.47
Se 0.9464 0.4402 0.1450  2 Pd 2.45-2.74, 1 Se 2.47
Se 0.9938 0.1986 0.0536  2 Pd 2.45-2.74, 1 Se 2.47
Se 0.9938 0.2952 0.9402  2 Pd 2.45-2.74, 1 Se 2.47

---

7.
Entry from Alexandria via LeMat-Bulk: a relaxed AgW3Cl crystal (PBE).

The space group is Pm-3m, No. 221. The volume comes out at 17.22 Å³/atom. The value obtained for the total energy is -7.1485 eV/atom. The calculation puts the uncorrected formation energy at 7.8 eV/f.u. Its excess energy over the best structure of this formula in the dataset is 0 meV per atom. Its density of states at the Fermi level is 2.4 states/eV/f.u.

Lattice parameters (Å, degrees): 4.4156 4.4156 4.4156 90.00 90.00 90.00
Closest atoms and distances in Å follow each position.
Fractional positions:
Ag 0.0000 0.0000 0.0000  12 W 3.12
W 0.0000 0.5000 0.5000  2 Cl 2.21
W 0.5000 0.0000 0.5000  2 Cl 2.21
W 0.5000 0.5000 0.0000  2 Cl 2.21
Cl 0.5000 0.5000 0.5000  6 W 2.21

---

8.
Entry from Alexandria via LeMat-Bulk: a relaxed NiMo3 crystal (PBE).

The space group is C2/m, No. 12. The volume comes out at 14.82 Å³/atom. The value obtained for the total energy is -9.3828 eV/atom. The value obtained for the formation energy from the elements is 0.186 eV/atom. Its density of states at the Fermi level is 3.9 states/eV/f.u.

Lattice parameters (Å, degrees): 4.7478 4.7478 4.9444 97.44 97.44 32.46
Closest atoms and distances in Å follow each position.
Fractional positions:
Ni 0.0000 0.0000 0.0000  2 Ni 2.65, 10 Mo 2.67-2.81
Mo 0.2629 0.2629 0.7629  9 Mo 2.65-2.90, 3 Ni 2.67-2.81
Mo 0.5000 0.5000 0.5000  8 Mo 2.65-2.89, 4 Ni 2.81
Mo 0.7371 0.7371 0.2371  9 Mo 2.65-2.90, 3 Ni 2.67-2.81

---

9.
Entry from Alexandria via LeMat-Bulk: a relaxed Mg3Pd5 crystal (PBE).

The space group is Pbam, No. 55. The volume comes out at 15.81 Å³/atom. The value obtained for the total energy is -4.4885 eV/atom. The value obtained for the formation energy from the elements is -0.645 eV/atom. Its density of states at the Fermi level is 2.5 states/eV/f.u.

Lattice parameters (Å, degrees): 5.5132 10.7041 4.2856 90.00 90.00 90.00
Closest atoms and distances in Å follow each position.
Fractional positions:
Mg 0.0000 0.0000 0.0000  8 Pd 2.64-2.76
Mg 0.1651 0.3625 0.5000  10 Pd 2.69-2.90
Mg 0.3349 0.8625 0.5000  10 Pd 2.69-2.90
Mg 0.5000 0.5000 0.0000  8 Pd 2.64-2.76
Mg 0.6651 0.1375 0.5000  10 Pd 2.69-2.90
Mg 0.8349 0.6375 0.5000  10 Pd 2.69-2.90
Pd 0.0000 0.5000 0.0000  6 Mg 2.75-2.76, 6 Pd 2.80-3.03
Pd 0.1051 0.7558 0.0000  5 Mg 2.68-2.90, 5 Pd 2.76-2.90
Pd 0.1777 0.1111 0.5000  6 Mg 2.64-2.84, 2 Pd 2.90
Pd 0.3223 0.6111 0.5000  6 Mg 2.64-2.84, 2 Pd 2.90
Pd 0.3949 0.2558 0.0000  5 Mg 2.68-2.90, 5 Pd 2.76-2.90
Pd 0.5000 0.0000 0.0000  6 Mg 2.75-2.76, 6 Pd 2.80-3.03
Pd 0.6051 0.7442 0.0000  5 Mg 2.68-2.90, 5 Pd 2.76-2.90
Pd 0.6777 0.3889 0.5000  6 Mg 2.64-2.84, 2 Pd 2.90
Pd 0.8223 0.8889 0.5000  6 Mg 2.64-2.84, 2 Pd 2.90
Pd 0.8949 0.2442 0.0000  5 Mg 2.68-2.90, 5 Pd 2.76-2.90

---

10.
Entry from Alexandria via LeMat-Bulk: a relaxed SrPm3Nd2Te6 crystal (PBE).

The space group is C2/m, No. 12. The volume comes out at 32.61 Å³/atom. The value obtained for the total energy is -5.1511 eV/atom. The calculation puts the uncorrected formation energy at -17.5 eV/f.u. Its density of states at the Fermi level is 5.8 states/eV/f.u.

Lattice parameters (Å, degrees): 10.1052 10.1052 9.0715 103.29 103.29 25.76
Closest atoms and distances in Å follow each position.
Fractional positions:
Sr 0.0000 0.0000 0.0000  6 Te 3.23-3.24
Pm 0.0000 0.0000 0.5000  6 Te 3.14-3.16
Pm 0.3343 0.3343 0.1779  6 Te 3.12-3.24
Pm 0.6657 0.6657 0.8221  6 Te 3.12-3.24
Nd 0.3284 0.3284 0.6563  6 Te 3.15-3.27
Nd 0.6716 0.6716 0.3437  6 Te 3.15-3.27
Te 0.1638 0.1638 0.5827  3 Pm 3.12-3.14, 3 Nd 3.15
Te 0.1694 0.1694 0.0810  3 Pm 3.16-3.24, 1 Sr 3.24, 2 Nd 3.27
Te 0.4982 0.4982 0.7437  3 Pm 3.16-3.21, 2 Sr 3.23, 1 Nd 3.25
Te 0.5018 0.5018 0.2563  3 Pm 3.16-3.21, 2 Sr 3.23, 1 Nd 3.25
Te 0.8306 0.8306 0.9190  3 Pm 3.16-3.24, 1 Sr 3.24, 2 Nd 3.27
Te 0.8362 0.8362 0.4173  3 Pm 3.12-3.14, 3 Nd 3.15

---

11.
Entry from Alexandria via LeMat-Bulk: a relaxed Nb2ZnGe crystal (PBE).

The space group is I-42d, No. 122. The volume comes out at 17.73 Å³/atom. The value obtained for the total energy is -6.4177 eV/atom. The value obtained for the formation energy from the elements is 0.090 eV/atom. Its density of states at the Fermi level is 1.6 states/eV/f.u.

Lattice parameters (Å, degrees): 5.7575 5.7575 5.7575 103.72 103.72 121.70
Closest atoms and distances in Å follow each position.
Fractional positions:
Nb 0.1186 0.6250 0.9936  2 Ge 2.58, 2 Zn 2.64, 2 Nb 2.81
Nb 0.3750 0.3686 0.4936  2 Ge 2.58, 2 Zn 2.64, 2 Nb 2.81
Nb 0.6314 0.1250 0.0064  2 Ge 2.58, 2 Zn 2.64, 2 Nb 2.81
Nb 0.8750 0.8814 0.5064  2 Ge 2.58, 2 Zn 2.64, 2 Nb 2.81
Zn 0.2500 0.7500 0.5000  4 Nb 2.64, 2 Ge 2.80
Zn 0.5000 0.5000 0.0000  4 Nb 2.64, 2 Ge 2.80
Ge 0.0000 0.0000 0.0000  4 Nb 2.58, 2 Zn 2.80
Ge 0.7500 0.2500 0.5000  4 Nb 2.58, 2 Zn 2.80

---

12.
Entry from Alexandria via LeMat-Bulk: a relaxed Pm3TmSb3 crystal (PBE).

The space group is P2_13, No. 198. The volume comes out at 29.26 Å³/atom. The value obtained for the total energy is -5.4590 eV/atom. The calculation puts the uncorrected formation energy at -7.1 eV/f.u. Its excess energy over the best structure of this formula in the dataset is 0 meV per atom. Its density of states at the Fermi level is 7.0 states/eV/f.u.

Lattice parameters (Å, degrees): 9.3573 9.3573 9.3573 90.00 90.00 90.00
Closest atoms and distances in Å follow each position.
Fractional positions:
Pm 0.0673 0.4327 0.5673  6 Sb 3.15-3.35
Pm 0.1764 0.8236 0.3236  6 Sb 3.13-3.36
Pm 0.1791 0.1791 0.1791  6 Sb 3.12-3.40
Pm 0.3209 0.8209 0.6791  6 Sb 3.12-3.40
Pm 0.3236 0.1764 0.8236  6 Sb 3.13-3.36
Pm 0.4327 0.5673 0.0673  6 Sb 3.15-3.35
Pm 0.5673 0.0673 0.4327  6 Sb 3.15-3.35
Pm 0.6764 0.6764 0.6764  6 Sb 3.13-3.36
Pm 0.6791 0.3209 0.8209  6 Sb 3.12-3.40
Pm 0.8209 0.6791 0.3209  6 Sb 3.12-3.40
Pm 0.8236 0.3236 0.1764  6 Sb 3.13-3.36
Pm 0.9327 0.9327 0.9327  6 Sb 3.15-3.35
Tm 0.0730 0.5730 0.9270  6 Sb 3.08-3.36
Tm 0.4270 0.4270 0.4270  6 Sb 3.08-3.36
Tm 0.5730 0.9270 0.0730  6 Sb 3.08-3.36
Tm 0.9270 0.0730 0.5730  6 Sb 3.08-3.36
Sb 0.0022 0.2566 0.8718  2 Tm 3.08-3.36, 6 Pm 3.12-3.40
Sb 0.1282 0.5022 0.2434  2 Tm 3.08-3.36, 6 Pm 3.12-3.40
Sb 0.2434 0.1282 0.5022  2 Tm 3.08-3.36, 6 Pm 3.12-3.40
Sb 0.2566 0.8718 0.0022  2 Tm 3.08-3.36, 6 Pm 3.12-3.40
Sb 0.3718 0.4978 0.7434  2 Tm 3.08-3.36, 6 Pm 3.12-3.40
Sb 0.4978 0.7434 0.3718  2 Tm 3.08-3.36, 6 Pm 3.12-3.40
Sb 0.5022 0.2434 0.1282  2 Tm 3.08-3.36, 6 Pm 3.12-3.40
Sb 0.6282 0.9978 0.7566  2 Tm 3.08-3.36, 6 Pm 3.12-3.40
Sb 0.7434 0.3718 0.4978  2 Tm 3.08-3.36, 6 Pm 3.12-3.40
Sb 0.7566 0.6282 0.9978  2 Tm 3.08-3.36, 6 Pm 3.12-3.40
Sb 0.8718 0.0022 0.2566  2 Tm 3.08-3.36, 6 Pm 3.12-3.40
Sb 0.9978 0.7566 0.6282  2 Tm 3.08-3.36, 6 Pm 3.12-3.40